(1)
The following is a PBE calculation of a geometry-optimized ZrScPa2As4 structure, from Alexandria via LeMat-Bulk.

Cell lengths 4.0124, 6.8286, 6.9467 Å; angles 70.15, 90.00, 90.00 degrees
Sites, in units of the cell vectors:
Zr 0.5000 0.5000 0.0000
Sc 0.0000 0.5000 0.5000
Pa 0.0000 0.0000 0.0000
Pa 0.5000 0.0000 0.5000
As 0.0000 0.7358 0.7529
As 0.0000 0.2642 0.2471
As 0.5000 0.7346 0.2567
As 0.5000 0.2654 0.7433

Properties
Its space group is P2/m, No. 10. The value obtained for the formation energy is -891.3 kJ/mol of formula units. The value obtained for the density of states at the Fermi level is 7.39 states/eV/cell.

---

(2)
The following is a PBE calculation of a geometry-optimized ZrSc2PaAs4 structure, from Alexandria via LeMat-Bulk.

Cell lengths 3.9432, 6.8067, 6.8067 Å; angles 70.56, 90.00, 90.00 degrees
Sites, in units of the cell vectors:
Zr 0.0000 0.5000 0.5000
Sc 0.0000 0.0000 0.0000
Sc 0.5000 0.0000 0.5000
Pa 0.5000 0.5000 0.0000
As 0.0000 0.7620 0.7393
As 0.0000 0.2380 0.2607
As 0.5000 0.7556 0.2530
As 0.5000 0.2444 0.7470

Properties
Its space group is P2/m, No. 10. The value obtained for the formation energy is -945.4 kJ/mol of formula units. The value obtained for the density of states at the Fermi level is 5.75 states/eV/cell.

---

(3)
The following is a PBE calculation of a geometry-optimized PaAsSe2 structure, from Alexandria via LeMat-Bulk.

Cell lengths 3.5955, 3.5955, 9.1901 Å; angles 78.72, 78.72, 60.00 degrees
Sites, in units of the cell vectors:
As 0.5000 0.5000 0.5000
Pa 0.0000 0.0000 0.0000
Se 0.1043 0.1043 0.6872
Se 0.8957 0.8957 0.3128

Properties
Its space group is R-3m, No. 166. Its final energy is -20.94 eV per formula unit. The value obtained for the density of states at the Fermi level is 5.67 states/eV/cell.

---

(4)
The following is a PBE calculation of a geometry-optimized PaAsSe structure, from Alexandria via LeMat-Bulk.

Cell lengths 4.7774, 4.7774, 4.7774 Å; angles 60.00, 60.00, 60.00 degrees
Sites, in units of the cell vectors:
As 0.0000 0.0000 0.0000
Pa 0.2500 0.2500 0.2500
Se 0.5000 0.5000 0.5000

Properties
Its space group is F-43m, No. 216. Its final energy is -20.66 eV per formula unit.

---

(5)
The following is a PBE calculation of a geometry-optimized Pa5As4Se structure, from Alexandria via LeMat-Bulk.

Cell lengths 4.1129, 5.7810, 10.7786 Å; angles 105.56, 101.00, 90.00 degrees
Sites, in units of the cell vectors:
Pa 0.6002 0.1002 0.2004
Pa 0.7999 0.2999 0.5997
Pa 0.2001 0.7001 0.4003
Pa 0.0000 0.5000 0.0000
Pa 0.3998 0.8998 0.7996
As 0.4000 0.4000 0.7999
As 0.8002 0.8002 0.6005
As 0.1998 0.1998 0.3995
As 0.6000 0.6000 0.2001
Se 0.0000 0.0000 0.0000

Properties
Its space group is Immm, No. 71. Its final energy is -80.50 eV per formula unit. The value obtained for the density of states at the Fermi level is 13.42 states/eV/cell.

---

(6)
The following is a PBE calculation of a geometry-optimized Pa8As5Se3 structure, from Alexandria via LeMat-Bulk.

Cell lengths 8.2393, 8.2393, 8.1014 Å; angles 59.44, 59.44, 60.00 degrees
Sites, in units of the cell vectors:
Pa 0.2502 0.2502 0.7502
Pa 0.2502 0.7493 0.7502
Pa 0.7493 0.2502 0.7502
Pa 0.7499 0.7499 0.7502
Pa 0.7498 0.7498 0.2498
Pa 0.7498 0.2507 0.2498
Pa 0.2507 0.7498 0.2498
Pa 0.2501 0.2501 0.2498
As 0.5000 0.0000 0.0000
As 0.5000 0.5000 0.0000
As 0.0000 0.0000 0.0000
As 0.0000 0.5000 0.0000
As 0.5000 0.5000 0.5000
Se 0.5000 0.0000 0.5000
Se 0.0000 0.0000 0.5000
Se 0.0000 0.5000 0.5000

Properties
Its space group is R-3m, No. 166. Its final energy is -127.66 eV per formula unit. The value obtained for the density of states at the Fermi level is 24.06 states/eV/cell.